Entry 1:
# KFeTc

An optimized crystal structure of KFeTc (PBE, Alexandria via LeMat-Bulk).

Cell and atoms, written as POSCAR:
```
KFeTc
1.0
2.9782 0.0000 0.0000
0.0000 2.9782 0.0000
0.0000 0.0000 13.7508
K Fe Tc
2 2 2
direct
0.0000 0.0000 0.0000
0.5000 0.5000 0.5000
0.0000 0.0000 0.2959
0.5000 0.5000 0.7959
0.0000 0.0000 0.7102
0.5000 0.5000 0.2102
```

## Properties
Fermi-level density of states, states/eV per atom: 0.88
Energy relative to the elements, eV/atom: 0.88
Final energy, eV for the cell shown: -34.60
Space group: I4mm
E above lowest polymorph, meV/atom: 0

Entry 2:
# KCaIr2

An optimized crystal structure of KCaIr2 (PBE, Alexandria via LeMat-Bulk).

Cell and atoms, written as POSCAR:
```
KCaIr2
1.0
3.0892 0.0000 0.0000
0.0000 4.9234 0.0000
0.0000 0.0000 10.0137
K Ca Ir
2 2 4
direct
0.0000 0.0000 0.0000
0.5000 0.5000 0.5000
0.0000 0.0000 0.5000
0.5000 0.5000 0.0000
0.0000 0.5000 0.2388
0.0000 0.5000 0.7612
0.5000 0.0000 0.2612
0.5000 0.0000 0.7388
```

## Properties
Fermi-level density of states, states/eV per atom: 0.50
Energy relative to the elements, eV/atom: 0.56
Final energy, eV for the cell shown: -37.14
Space group: Immm
E above lowest polymorph, meV/atom: 358

Entry 3:
# Ba2ReSb

An optimized crystal structure of Ba2ReSb (PBE, Alexandria via LeMat-Bulk).

Cell and atoms, written as POSCAR:
```
Ba2ReSb
1.0
8.8908 0.0000 0.0000
0.0000 3.5633 0.0000
-1.2725 0.0000 8.9532
Ba Re Sb
4 2 2
direct
0.2482 0.0000 0.2378
0.2518 0.5000 0.7622
0.7482 0.5000 0.2378
0.7518 0.0000 0.7622
0.0000 0.5000 0.0000
0.5000 0.0000 0.0000
0.0000 0.0000 0.5000
0.5000 0.5000 0.5000
```

## Properties
Fermi-level density of states, states/eV per atom: 0.95
Final energy, eV for the cell shown: -34.94
Space group: C2/m

Entry 4:
# CsBe2AgBr6

An optimized crystal structure of CsBe2AgBr6 (PBE, Alexandria via LeMat-Bulk).

Cell and atoms, written as POSCAR:
```
CsBe2AgBr6
1.0
5.1315 -9.2222 0.0000
5.1315 9.2222 0.0000
-3.4081 0.0000 7.9765
Cs Be Ag Br
2 4 2 12
direct
0.1579 0.8421 0.7500
0.8421 0.1579 0.2500
0.1842 0.4129 0.7805
0.4129 0.1842 0.2805
0.5871 0.8158 0.7195
0.8158 0.5871 0.2195
0.4736 0.5264 0.2500
0.5264 0.4736 0.7500
0.0193 0.5986 0.3017
0.1998 0.2318 0.6579
0.2318 0.1998 0.1579
0.3795 0.6102 0.9861
0.3898 0.6205 0.5139
0.4014 0.9807 0.1983
0.5986 0.0193 0.8017
0.6102 0.3795 0.4861
0.6205 0.3898 0.0139
0.7682 0.8002 0.8421
0.8002 0.7682 0.3421
0.9807 0.4014 0.6983
```

## Properties
Fermi-level density of states, states/eV per atom: 0.00
Final energy, eV for the cell shown: -62.58
Space group: C2/c

Entry 5:
# PrNdTm2

An optimized crystal structure of PrNdTm2 (PBE, Alexandria via LeMat-Bulk).

Cell and atoms, written as POSCAR:
```
PrNdTm2
1.0
5.6625 0.0000 0.0000
0.0000 10.2294 0.0000
-2.7027 0.0000 9.6337
Pr Nd Tm
4 4 8
direct
0.0000 0.0402 0.2500
0.0000 0.9598 0.7500
0.5000 0.4598 0.7500
0.5000 0.5402 0.2500
0.0000 0.2920 0.7500
0.0000 0.7080 0.2500
0.5000 0.2080 0.2500
0.5000 0.7920 0.7500
0.0765 0.3732 0.4118
0.0765 0.6268 0.9118
0.4235 0.1268 0.5882
0.4235 0.8732 0.0882
0.5765 0.1268 0.9118
0.5765 0.8732 0.4118
0.9235 0.3732 0.0882
0.9235 0.6268 0.5882
```

## Properties
Fermi-level density of states, states/eV per atom: 1.38
Energy relative to the elements, eV/atom: 0.21
Final energy, eV for the cell shown: -70.62
Space group: C2/c
E above lowest polymorph, meV/atom: 191

Entry 6:
# Mg2AgHPd

An optimized crystal structure of Mg2AgHPd (PBE, Alexandria via LeMat-Bulk).

Cell and atoms, written as POSCAR:
```
Mg2AgHPd
1.0
4.6160 0.0000 0.0000
0.0000 4.6160 0.0000
0.0000 0.0000 3.4497
Mg Ag H Pd
2 1 1 1
direct
0.0000 0.5000 0.0000
0.5000 0.0000 0.0000
0.0000 0.0000 0.5000
0.5000 0.5000 0.0000
0.5000 0.5000 0.5000
```

## Properties
Fermi-level density of states, states/eV per atom: 0.40
Final energy, eV for the cell shown: -16.38
Space group: P4/mmm
E above lowest polymorph, meV/atom: 0

Entry 7:
# PaCdAg

An optimized crystal structure of PaCdAg (PBE, Alexandria via LeMat-Bulk).

Cell and atoms, written as POSCAR:
```
PaCdAg
1.0
3.0948 0.0000 0.0000
-1.5474 2.6801 0.0000
0.0000 0.0000 7.9630
Pa Cd Ag
1 1 1
direct
0.0000 0.0000 0.0000
0.6667 0.3333 0.3564
0.3333 0.6667 0.6602
```

## Properties
Fermi-level density of states, states/eV per atom: 1.27
Energy relative to the elements, eV/atom: 0.06
Final energy, eV for the cell shown: -13.07
Space group: P3m1
E above lowest polymorph, meV/atom: 0

Entry 8:
# Ce5In2Hg

An optimized crystal structure of Ce5In2Hg (PBE, Alexandria via LeMat-Bulk).

Cell and atoms, written as POSCAR:
```
Ce5In2Hg
1.0
6.8592 0.0000 0.0000
0.0000 6.8592 0.0000
0.0000 0.0000 9.2906
Ce In Hg
10 4 2
direct
0.0000 0.0000 0.0000
0.2496 0.2496 0.2508
0.2504 0.2504 0.7508
0.2496 0.7504 0.2508
0.2504 0.7496 0.7508
0.5000 0.5000 0.5000
0.7504 0.2496 0.2508
0.7496 0.2504 0.7508
0.7504 0.7504 0.2508
0.7496 0.7496 0.7508
0.0000 0.5000 0.0008
0.0000 0.5000 0.5008
0.5000 0.0000 0.0008
0.5000 0.0000 0.5008
0.0000 0.0000 0.5013
0.5000 0.5000 0.0013
```

## Properties
Fermi-level density of states, states/eV per atom: 2.99
Energy relative to the elements, eV/atom: -0.24
Final energy, eV for the cell shown: -74.70
Space group: I4mm
E above lowest polymorph, meV/atom: 0